1.
Compound: HgPd2Au
Source: the Alexandria database
Functional: GGA-PBE
Structure: optimized geometry

a b c (Å): 3.8052 3.8052 19.5071
angles (deg): 90.00 90.00 120.00
Space group R3m (No. 160, hexagonal axes)
Inequivalent atoms, fractional coordinates:
Hg (0.0000, 0.0000, 0.0000) x3
Pd (0.0000, 0.0000, 0.4180) x3
Pd (0.0000, 0.0000, 0.5805) x3
Au (0.0000, 0.0000, 0.8319) x3

Output
Energy = -39.81 eV for the cell shown
ρ = 12.431 g/cm3
Energy of formation from the pure elements = 174 meV/atom
Total moment = 0.00 μB/cell


2.
Compound: Tb3Al8Cu3
Source: the Alexandria database
Functional: GGA-PBE
Structure: optimized geometry

a b c (Å): 15.6678 4.2993 9.4830
angles (deg): 90.00 126.86 90.00
Space group C2/m (No. 12)
Inequivalent atoms, fractional coordinates:
Tb (0.0000, 0.0000, 0.0000) x2
Tb (0.2023, 0.5000, 0.6976) x4
Al (0.0020, 0.5000, 0.3127) x4
Al (0.1377, 0.0000, 0.8537) x4
Al (0.1456, 0.0000, 0.4223) x4
Al (0.1546, 0.5000, 0.0362) x4
Cu (0.0000, 0.0000, 0.5000) x2
Cu (0.1550, 0.5000, 0.2977) x4

Output
Energy = -123.68 eV for the cell shown
ρ = 5.740 g/cm3
Energy of formation from the pure elements = -409 meV/atom
Total moment = 0.00 μB/cell


3.
Compound: RbAlHg2Te4
Source: the Alexandria database
Functional: GGA-PBE
Structure: optimized geometry

a b c (Å): 7.2601 8.9773 9.6014
angles (deg): 90.00 90.00 90.00
Space group I222 (No. 23)
Inequivalent atoms, fractional coordinates:
Rb (0.0000, 0.0000, 0.0000) x2
Al (0.0000, 0.0000, 0.5000) x2
Hg (0.0000, 0.5000, 0.1727) x4
Te (0.2033, 0.1805, 0.3437) x8

Output
Energy = -43.15 eV for the cell shown
ρ = 5.435 g/cm3
Total moment = 0.00 μB/cell
E_form (uncorrected) = -3.7 eV/f.u.


4.
Compound: Ca2Mo2Os
Source: the Alexandria database
Functional: GGA-PBE
Structure: optimized geometry

a b c (Å): 3.7789 3.7789 14.6662
angles (deg): 90.00 90.00 90.00
Space group I4/mmm (No. 139)
Inequivalent atoms, fractional coordinates:
Ca (0.0000, 0.5000, 0.2500) x4
Mo (0.0000, 0.0000, 0.0740) x4
Os (0.0000, 0.0000, 0.5000) x2

Output
Energy = -59.54 eV for the cell shown
ρ = 7.330 g/cm3
Energy of formation from the pure elements = 1426 meV/atom
Total moment = 0.00 μB/cell


5.
Compound: Nd2MgZn2Pt5
Source: the Alexandria database
Functional: GGA-PBE
Structure: optimized geometry

a b c (Å): 9.8062 9.8062 3.8495
angles (deg): 90.00 90.00 90.00
Space group P4/mbm (No. 127)
Inequivalent atoms, fractional coordinates:
Nd (0.1774, 0.3226, 0.0000) x4
Mg (0.0000, 0.0000, 0.0000) x2
Zn (0.1202, 0.6202, 0.0000) x4
Pt (0.0000, 0.5000, 0.5000) x2
Pt (0.0642, 0.7939, 0.5000) x8

Output
Energy = -103.97 eV for the cell shown
ρ = 12.731 g/cm3
Energy of formation from the pure elements = -810 meV/atom
Total moment = 0.00 μB/cell


6.
Compound: LaTbPmY3
Source: the Alexandria database
Functional: GGA-PBE
Structure: optimized geometry

a b c (Å): 5.9421 11.4139 11.8937
angles (deg): 90.00 90.00 90.00
Space group Cmcm (No. 63)
Inequivalent atoms, fractional coordinates:
La (0.0000, 0.0013, 0.2500) x4
Tb (0.0000, 0.3279, 0.2500) x4
Pm (0.0000, 0.5000, 0.0000) x4
Y (0.0000, 0.1735, 0.9995) x8
Y (0.0000, 0.3291, 0.7500) x4

Output
Energy = -132.22 eV for the cell shown
ρ = 5.843 g/cm3
Energy of formation from the pure elements = 108 meV/atom
Total moment = 0.00 μB/cell